1.
Density functional theory data (PBE) for crystalline Nd8Te4RhS3 at its relaxed geometry.

Structure (extended XYZ):
```
16
Lattice="8.516 0.000 0.000 0.000 8.732 0.146 -4.258 -4.254 6.025" Properties=species:S:1:pos:R:3 pbc="T T T"
Nd -2.153 2.066 5.990
Nd 0.000 4.217 2.944
Nd 0.000 0.298 3.219
Nd 2.153 2.066 5.990
Nd 2.105 2.412 0.181
Nd 4.258 4.180 2.951
Nd 4.258 0.261 3.227
Nd 6.411 2.412 0.181
Te 4.258 0.000 0.000
Te 2.129 -2.127 3.012
Te 0.000 0.000 0.000
Te -2.129 -2.127 3.012
Rh 0.000 4.366 0.073
S 4.258 4.366 0.073
S 2.129 2.239 3.085
S -2.129 2.239 3.085
```



2.
Density functional theory data (PBE) for crystalline NdThRhS at its relaxed geometry.

Structure (extended XYZ):
```
4
Lattice="-0.899 2.375 -3.079 -2.907 -1.437 2.326 2.159 4.830 5.683" Properties=species:S:1:pos:R:3 pbc="T T T"
Nd 0.535 4.005 2.445
Th -2.692 -0.647 2.384
Rh 0.013 4.212 5.343
S -1.196 3.485 -0.037
```



3.
Density functional theory data (PBE) for crystalline NdSbRh3 at its relaxed geometry.

Structure (extended XYZ):
```
10
Lattice="-2.810 0.553 4.274 -4.731 1.582 -3.314 0.619 -6.792 1.286" Properties=species:S:1:pos:R:3 pbc="T T T"
Nd -4.815 0.031 1.476
Nd -2.107 -4.687 0.770
Sb -2.751 -1.796 3.069
Sb -4.171 -2.860 -0.823
Rh -4.596 -3.213 2.039
Rh -1.984 -4.087 3.869
Rh -4.937 -0.569 -1.624
Rh -2.325 -1.443 0.207
Rh 0.000 0.000 0.000
Rh -1.405 0.277 2.137
```

Calculated values
The calculation puts the offset from the most stable computed form at 0 meV per atom.



4.
Density functional theory data (PBE) for crystalline NdSb2Rh4 at its relaxed geometry.

Structure (extended XYZ):
```
14
Lattice="4.129 0.000 0.000 0.000 8.022 0.000 0.000 0.000 8.022" Properties=species:S:1:pos:R:3 pbc="T T T"
Nd 2.064 0.000 0.000
Nd 0.000 4.011 4.011
Sb 0.000 1.792 6.230
Sb 0.000 6.230 1.792
Sb 2.064 5.803 5.803
Sb 2.064 2.219 2.219
Rh 0.000 0.666 2.790
Rh 0.000 7.355 5.231
Rh 2.064 1.221 4.677
Rh 2.064 6.801 3.344
Rh 2.064 3.344 6.801
Rh 2.064 4.677 1.221
Rh 0.000 2.790 0.666
Rh 0.000 5.231 7.355
```

Calculated values
The calculation puts the offset from the most stable computed form at 0 meV per atom.



5.
Density functional theory data (PBE) for crystalline Nd2SbRh3 at its relaxed geometry.

Structure (extended XYZ):
```
12
Lattice="-3.563 4.076 -1.893 -1.586 -3.411 4.330 3.320 5.466 5.521" Properties=species:S:1:pos:R:3 pbc="T T T"
Nd -1.466 3.948 2.572
Nd -0.362 2.185 5.387
Nd 0.853 4.185 7.407
Nd -2.682 1.947 0.552
Sb 1.660 2.733 2.761
Sb 0.000 0.000 0.000
Rh -0.336 0.891 2.553
Rh 0.981 4.921 4.235
Rh -1.492 5.241 5.406
Rh -1.098 -0.747 4.633
Rh -0.730 6.879 3.326
Rh -2.810 1.211 3.723
```



6.
Density functional theory data (PBE) for crystalline NdSbRh3 at its relaxed geometry.

Structure (extended XYZ):
```
10
Lattice="-2.038 -3.111 -5.408 6.152 -2.216 -0.576 -1.832 -0.822 6.249" Properties=species:S:1:pos:R:3 pbc="T T T"
Nd 1.159 -5.336 -1.092
Nd 1.122 -0.813 1.358
Sb 2.057 -2.663 -2.992
Sb -1.935 -1.967 0.420
Rh 0.277 -2.467 -1.002
Rh 3.939 -1.715 0.847
Rh 2.004 -3.682 1.267
Rh 0.380 -1.322 4.827
Rh 3.937 -4.460 -2.738
Rh -1.656 -1.689 3.003
```

Calculated values
The calculation puts the offset from the most stable computed form at 20 meV per atom.



no.,spin magnetization (μB/atom),raw formation energy (eV/atom)
1,0.00,-1.56
2,0.00,-1.24
3,0.00,-0.57
4,0.00,-0.59
5,0.00,-0.79
6,0.00,-0.55